# SiTe3 (PBE, optimized geometry)
# Total magnetization (Bohr magnetons per cell): 0.0
# Formation energy from raw total energies (eV per atom): 0.509
# Crystal system: cubic
# DOS(E_F) (states/eV/f.u.): 3.81
data_SiTe3
_space_group_name_H-M_alt 'P 1'
_space_group_IT_number 1
_space_group_name_Hall 'P 1'
_cell_length_a 5.2614
_cell_length_b 5.2614
_cell_length_c 5.2614
_cell_angle_alpha 60.00
_cell_angle_beta 60.00
_cell_angle_gamma 60.00
loop_
_atom_site_label
_atom_site_type_symbol
_atom_site_fract_x
_atom_site_fract_y
_atom_site_fract_z
Si1 Si 0.0000 0.0000 0.0000
Te1 Te 0.2500 0.2500 0.2500
Te2 Te 0.5000 0.5000 0.5000
Te3 Te 0.7500 0.7500 0.7500

# Sb2ClO (PBE, optimized geometry)
# Total magnetization (Bohr magnetons per cell): 0.0
# Formation energy from raw total energies (eV per atom): 0.258
# Crystal system: cubic
# Energy above the lowest structure with this stoichiometry (eV per atom): 0.9231
# DOS(E_F) (states/eV/f.u.): 2.32
data_Sb2ClO
_space_group_name_H-M_alt 'P 1'
_space_group_IT_number 1
_space_group_name_Hall 'P 1'
_cell_length_a 4.7879
_cell_length_b 4.7879
_cell_length_c 4.7879
_cell_angle_alpha 60.00
_cell_angle_beta 60.00
_cell_angle_gamma 60.00
loop_
_atom_site_label
_atom_site_type_symbol
_atom_site_fract_x
_atom_site_fract_y
_atom_site_fract_z
Sb1 Sb 0.2500 0.2500 0.2500
Sb2 Sb 0.7500 0.7500 0.7500
Cl1 Cl 0.0000 0.0000 0.0000
O1 O 0.5000 0.5000 0.5000

# Cd2Ga2I (PBE, optimized geometry)
# Total magnetization (Bohr magnetons per cell): 0.0
# Formation energy from raw total energies (eV per atom): 0.056
# Crystal system: tetragonal
# Energy above the lowest structure with this stoichiometry (eV per atom): 0.0162
# DOS(E_F) (states/eV/f.u.): 2.18
data_Cd2Ga2I
_space_group_name_H-M_alt 'P 1'
_space_group_IT_number 1
_space_group_name_Hall 'P 1'
_cell_length_a 8.4941
_cell_length_b 8.4941
_cell_length_c 3.6035
_cell_angle_alpha 90.00
_cell_angle_beta 90.00
_cell_angle_gamma 90.00
loop_
_atom_site_label
_atom_site_type_symbol
_atom_site_fract_x
_atom_site_fract_y
_atom_site_fract_z
Cd1 Cd 0.1752 0.3248 0.0000
Cd2 Cd 0.3248 0.8248 0.0000
Cd3 Cd 0.6752 0.1752 0.0000
Cd4 Cd 0.8248 0.6752 0.0000
Ga1 Ga 0.1148 0.6148 0.5000
Ga2 Ga 0.3852 0.1148 0.5000
Ga3 Ga 0.6148 0.8852 0.5000
Ga4 Ga 0.8852 0.3852 0.5000
I1 I 0.0000 0.0000 0.0000
I2 I 0.5000 0.5000 0.0000

# AlPdNF2 (PBE, optimized geometry)
# Total magnetization (Bohr magnetons per cell): 0.0
# Formation energy from raw total energies (eV per atom): -1.186
# Crystal system: tetragonal
# Energy above the lowest structure with this stoichiometry (eV per atom): 0.0000
# DOS(E_F) (states/eV/f.u.): 3.44
data_AlPdNF2
_space_group_name_H-M_alt 'P 1'
_space_group_IT_number 1
_space_group_name_Hall 'P 1'
_cell_length_a 3.5622
_cell_length_b 3.5622
_cell_length_c 4.2161
_cell_angle_alpha 90.00
_cell_angle_beta 90.00
_cell_angle_gamma 90.00
loop_
_atom_site_label
_atom_site_type_symbol
_atom_site_fract_x
_atom_site_fract_y
_atom_site_fract_z
Al1 Al 0.0000 0.0000 0.0000
Pd1 Pd 0.5000 0.5000 0.5000
N1 N 0.0000 0.0000 0.5000
F1 F 0.0000 0.5000 0.0000
F2 F 0.5000 0.0000 0.0000

# La2TiTcTe (PBE, optimized geometry)
# Total magnetization (Bohr magnetons per cell): 3.7
# Formation energy from raw total energies (eV per atom): 0.734
# Crystal system: tetragonal
# DOS(E_F) (states/eV/f.u.): 8.65
data_La2TiTcTe
_space_group_name_H-M_alt 'P 1'
_space_group_IT_number 1
_space_group_name_Hall 'P 1'
_cell_length_a 5.4628
_cell_length_b 5.4628
_cell_length_c 5.0673
_cell_angle_alpha 90.00
_cell_angle_beta 90.00
_cell_angle_gamma 90.00
loop_
_atom_site_label
_atom_site_type_symbol
_atom_site_fract_x
_atom_site_fract_y
_atom_site_fract_z
La1 La 0.0000 0.5000 0.0000
La2 La 0.5000 0.0000 0.0000
Ti1 Ti 0.0000 0.0000 0.0000
Tc1 Tc 0.5000 0.5000 0.5000
Te1 Te 0.0000 0.0000 0.5000

# ScPt2O6 (PBE, optimized geometry)
# Total magnetization (Bohr magnetons per cell): 0.8
# Formation energy from raw total energies (eV per atom): -1.248
# Crystal system: trigonal
# DOS(E_F) (states/eV/f.u.): 8.00
data_ScPt2O6
_space_group_name_H-M_alt 'P 1'
_space_group_IT_number 1
_space_group_name_Hall 'P 1'
_cell_length_a 5.2152
_cell_length_b 5.2152
_cell_length_c 4.5029
_cell_angle_alpha 90.00
_cell_angle_beta 90.00
_cell_angle_gamma 120.00
loop_
_atom_site_label
_atom_site_type_symbol
_atom_site_fract_x
_atom_site_fract_y
_atom_site_fract_z
Sc1 Sc 0.0000 0.0000 0.0000
Pt1 Pt 0.3333 0.6667 0.5000
Pt2 Pt 0.6667 0.3333 0.5000
O1 O 0.0000 0.3453 0.7385
O2 O 0.0000 0.6547 0.2615
O3 O 0.3453 0.0000 0.7385
O4 O 0.3453 0.3453 0.2615
O5 O 0.6547 0.0000 0.2615
O6 O 0.6547 0.6547 0.7385

Copy entry 2 word for word.
# Sb2ClO (PBE, optimized geometry)
# Total magnetization (Bohr magnetons per cell): 0.0
# Formation energy from raw total energies (eV per atom): 0.258
# Crystal system: cubic
# Energy above the lowest structure with this stoichiometry (eV per atom): 0.9231
# DOS(E_F) (states/eV/f.u.): 2.32
data_Sb2ClO
_space_group_name_H-M_alt 'P 1'
_space_group_IT_number 1
_space_group_name_Hall 'P 1'
_cell_length_a 4.7879
_cell_length_b 4.7879
_cell_length_c 4.7879
_cell_angle_alpha 60.00
_cell_angle_beta 60.00
_cell_angle_gamma 60.00
loop_
_atom_site_label
_atom_site_type_symbol
_atom_site_fract_x
_atom_site_fract_y
_atom_site_fract_z
Sb1 Sb 0.2500 0.2500 0.2500
Sb2 Sb 0.7500 0.7500 0.7500
Cl1 Cl 0.0000 0.0000 0.0000
O1 O 0.5000 0.5000 0.5000